Entry 1:
TbBO3, optimized geometry, DFT PBE; symmetry = P6_3/mmc, No. 194; uncorrected energy = -8.212 eV/atom; spin magnetization = 0.0002 μB/atom
1.0
-3.415 -2.618 -2.920
3.393 -2.582 2.976
-4.169 0.070 4.813
O Tb B
6 2 2
Cartesian
1.123 -2.571 3.116 O
-3.756 -3.744 3.120 O
-0.444 -3.772 1.776 O
-0.434 -1.386 1.750 O
-3.746 -1.357 3.094 O
-5.314 -2.558 1.754 O
0.000 0.000 0.000 Tb
-2.084 0.035 2.407 Tb
-4.272 -2.553 2.656 B
0.082 -2.576 2.214 B


Entry 2:
YEr3C2S2, optimized geometry, DFT PBE; symmetry = P3m1, No. 156; uncorrected energy = -7.141 eV/atom; spin magnetization = 0.0010 μB/atom
1.0
3.677 0.000 0.000
-1.838 3.184 0.000
0.000 0.000 12.796
S C Y Er
2 2 1 3
Cartesian
1.838 1.061 3.219 S
0.000 0.000 9.595 S
0.000 2.123 12.777 C
0.000 2.123 6.399 C
0.000 0.000 1.332 Y
0.000 0.000 5.077 Er
1.838 1.061 11.459 Er
1.838 1.061 7.724 Er


Entry 3:
MgFeNiSb, optimized geometry, DFT PBE; symmetry = F-43m, No. 216; E above lowest polymorph = 0 meV/atom; uncorrected energy = -4.921 eV/atom; spin magnetization = 0.4005 μB/atom
1.0
0.000 3.056 3.056
3.056 0.000 3.056
3.056 3.056 0.000
Sb Fe Mg Ni
1 1 1 1
Cartesian
0.000 0.000 0.000 Sb
4.583 4.583 4.583 Fe
3.056 3.056 3.056 Mg
1.528 1.528 1.528 Ni